Entry 1:
Computed, not measured: an optimized crystal structure of Mn2MoW at the GGA-PBE level of DFT.

Results
Fermi-level density of states: 1.62 states/eV per atom
Formation energy from the elements: 0.8179 eV per atom
Crystal system: tetragonal

Lattice parameters (Å, degrees): 6.697 6.697 5.150 90.00 90.00 90.00
Space group I-42d (No. 122)
Symmetry-distinct sites (fractional):
Mn  0.248  0.250  0.125 x8
Mo  0.000  0.000  0.000 x4
W  0.000  0.000  0.500 x4

Entry 2:
Computed, not measured: an optimized crystal structure of MnMoW2 at the GGA-PBE level of DFT.

Results
Fermi-level density of states: 0.80 states/eV per atom
Formation energy from the elements: 0.0917 eV per atom
Crystal system: tetragonal
Distance to the lowest polymorph of the same formula: 35 meV per atom

Lattice parameters (Å, degrees): 3.124 3.124 6.133 90.00 90.00 90.00
Space group P4/mmm (No. 123)
Symmetry-distinct sites (fractional):
Mn  0.000  0.000  0.000 x1
Mo  0.000  0.000  0.500 x1
W  0.500  0.500  0.242 x2

Entry 3:
Computed, not measured: an optimized crystal structure of MnMoW3 at the GGA-PBE level of DFT.

Results
Fermi-level density of states: 0.84 states/eV per atom
Formation energy from the elements: 1.3917 eV per atom
Crystal system: cubic
Distance to the lowest polymorph of the same formula: 0 meV per atom

Lattice parameters (Å, degrees): 4.437 4.437 4.437 90.00 90.00 90.00
Space group Pm-3m (No. 221)
Symmetry-distinct sites (fractional):
Mn  0.000  0.000  0.000 x1
Mo  0.500  0.500  0.500 x1
W  0.000  0.000  0.500 x3

Entry 4:
Computed, not measured: an optimized crystal structure of Mn4MoW at the GGA-PBE level of DFT.

Results
Fermi-level density of states: 1.44 states/eV per atom
Formation energy from the elements: -0.0498 eV per atom
Crystal system: cubic

Lattice parameters (Å, degrees): 6.682 6.682 6.682 90.00 90.00 90.00
Space group F-43m (No. 216)
Symmetry-distinct sites (fractional):
Mn  0.125  0.125  0.125 x16
Mo  0.250  0.250  0.750 x4
W  0.000  0.000  0.500 x4

Entry 5:
Computed, not measured: an optimized crystal structure of Mn2MoW at the GGA-PBE level of DFT.

Results
Fermi-level density of states: 0.94 states/eV per atom
Formation energy from the elements: 0.1277 eV per atom
Crystal system: orthorhombic

Lattice parameters (Å, degrees): 3.125 4.121 4.313 90.00 90.00 90.00
Space group Pmmm (No. 47)
Symmetry-distinct sites (fractional):
Mn  0.000  0.000  0.000 x1
Mn  0.500  0.000  0.500 x1
Mo  0.000  0.500  0.500 x1
W  0.500  0.500  0.000 x1

Entry 6:
Computed, not measured: an optimized crystal structure of Mn3MoW at the GGA-PBE level of DFT.

Results
Fermi-level density of states: 1.61 states/eV per atom
Formation energy from the elements: 1.8781 eV per atom
Crystal system: cubic
Distance to the lowest polymorph of the same formula: 38 meV per atom

Lattice parameters (Å, degrees): 4.371 4.371 4.371 90.00 90.00 90.00
Space group Pm-3m (No. 221)
Symmetry-distinct sites (fractional):
Mn  0.000  0.000  0.500 x3
Mo  0.500  0.500  0.500 x1
W  0.000  0.000  0.000 x1

Entry 7:
Computed, not measured: an optimized crystal structure of MnMoW4 at the GGA-PBE level of DFT.

Results
Fermi-level density of states: 0.52 states/eV per atom
Formation energy from the elements: 0.4368 eV per atom
Crystal system: cubic

Lattice parameters (Å, degrees): 7.411 7.411 7.411 90.00 90.00 90.00
Space group F-43m (No. 216)
Symmetry-distinct sites (fractional):
Mn  0.000  0.000  0.000 x4
Mo  0.250  0.250  0.750 x4
W  0.125  0.125  0.375 x16

Entry 8:
Computed, not measured: an optimized crystal structure of Mn2MoW at the GGA-PBE level of DFT.

Results
Fermi-level density of states: 1.06 states/eV per atom
Formation energy from the elements: 0.3501 eV per atom
Crystal system: trigonal

Lattice parameters (Å, degrees): 2.7046 2.7046 26.8344 90.00 90.00 120.00
Space group R3m (No. 160, hexagonal axes)
Symmetry-distinct sites (fractional):
Mn  0.0000  0.0000  0.0000 x3
Mn  0.0000  0.0000  0.2638 x3
Mo  0.0000  0.0000  0.5120 x3
W  0.0000  0.0000  0.7515 x3

Entry 9:
Computed, not measured: an optimized crystal structure of MnMoW2 at the GGA-PBE level of DFT.

Results
Fermi-level density of states: 0.69 states/eV per atom
Formation energy from the elements: 0.1027 eV per atom
Crystal system: orthorhombic
Distance to the lowest polymorph of the same formula: 46 meV per atom

Lattice parameters (Å, degrees): 3.137 4.449 8.669 90.00 90.00 90.00
Space group Immm (No. 71)
Symmetry-distinct sites (fractional):
Mn  0.000  0.000  0.000 x2
Mo  0.000  0.000  0.500 x2
W  0.000  0.500  0.250 x4

Entry 10:
Computed, not measured: an optimized crystal structure of Mn2MoW at the GGA-PBE level of DFT.

Results
Fermi-level density of states: 1.13 states/eV per atom
Formation energy from the elements: 0.1496 eV per atom
Crystal system: orthorhombic

Lattice parameters (Å, degrees): 3.133 4.294 8.211 90.00 90.00 90.00
Space group Cmm2 (No. 35)
Symmetry-distinct sites (fractional):
Mn  0.000  0.000  0.000 x2
Mn  0.000  0.500  0.219 x2
Mo  0.000  0.500  0.750 x2
W  0.000  0.000  0.470 x2

Entry 11:
Computed, not measured: an optimized crystal structure of MnMo5W6 at the GGA-PBE level of DFT.

Results
Fermi-level density of states: 0.64 states/eV per atom
Formation energy from the elements: 0.0304 eV per atom
Crystal system: triclinic

Lattice parameters (Å, degrees): 5.233 5.481 6.886 82.43 78.15 79.80
Space group P-1 (No. 2)
Symmetry-distinct sites (fractional):
Mn  0.000  0.000  0.000 x1
Mo  0.000  0.500  0.000 x1
Mo  0.331  0.669  0.669 x2
Mo  0.333  0.167  0.667 x2
W  0.164  0.586  0.330 x2
W  0.166  0.083  0.332 x2
W  0.497  0.248  0.000 x2

Entry 12:
Computed, not measured: an optimized crystal structure of MnMoW2 at the GGA-PBE level of DFT.

Results
Fermi-level density of states: 0.59 states/eV per atom
Formation energy from the elements: 0.0609 eV per atom
Crystal system: orthorhombic
Distance to the lowest polymorph of the same formula: 4 meV per atom

Lattice parameters (Å, degrees): 3.164 4.411 8.617 90.00 90.00 90.00
Space group Cmm2 (No. 35)
Symmetry-distinct sites (fractional):
Mn  0.000  0.000  0.000 x2
Mo  0.000  0.500  0.236 x2
W  0.000  0.000  0.499 x2
W  0.000  0.500  0.763 x2

Entry 13:
Computed, not measured: an optimized crystal structure of MnMoW2 at the GGA-PBE level of DFT.

Results
Fermi-level density of states: 0.85 states/eV per atom
Formation energy from the elements: 0.1070 eV per atom
Crystal system: cubic
Distance to the lowest polymorph of the same formula: 50 meV per atom

Lattice parameters (Å, degrees): 6.188 6.188 6.188 90.00 90.00 90.00
Space group Fm-3m (No. 225)
Symmetry-distinct sites (fractional):
Mn  0.000  0.000  0.000 x4
Mo  0.000  0.000  0.500 x4
W  0.250  0.250  0.250 x8

Entry 14:
Computed, not measured: an optimized crystal structure of MnMoW2 at the GGA-PBE level of DFT.

Results
Fermi-level density of states: 1.09 states/eV per atom
Formation energy from the elements: 0.2600 eV per atom
Crystal system: tetragonal
Distance to the lowest polymorph of the same formula: 203 meV per atom

Lattice parameters (Å, degrees): 2.737 2.737 7.998 90.00 90.00 90.00
Space group P4/mmm (No. 123)
Symmetry-distinct sites (fractional):
Mn  0.000  0.000  0.000 x1
Mo  0.000  0.000  0.500 x1
W  0.500  0.500  0.218 x2

Entry 15:
Computed, not measured: an optimized crystal structure of MnMoW2 at the GGA-PBE level of DFT.

Results
Fermi-level density of states: 0.81 states/eV per atom
Formation energy from the elements: 0.0981 eV per atom
Crystal system: monoclinic
Distance to the lowest polymorph of the same formula: 41 meV per atom

Lattice parameters (Å, degrees): 5.421 8.770 2.701 90.00 109.71 90.00
Space group C2/m (No. 12)
Symmetry-distinct sites (fractional):
Mn  0.000  0.000  0.000 x2
Mo  0.000  0.500  0.000 x2
W  0.250  0.250  0.500 x4

Entry 16:
Computed, not measured: an optimized crystal structure of Mn2MoW at the GGA-PBE level of DFT.

Results
Fermi-level density of states: 0.91 states/eV per atom
Formation energy from the elements: 0.1341 eV per atom
Crystal system: monoclinic

Lattice parameters (Å, degrees): 2.657 4.306 4.898 90.00 99.47 90.00
Space group Pm (No. 6)
Symmetry-distinct sites (fractional):
Mn  0.000  0.000  0.000 x1
Mn  0.225  0.500  0.732 x1
Mo  0.734  0.500  0.222 x1
W  0.497  0.000  0.509 x1

Entry 17:
Computed, not measured: an optimized crystal structure of MnMo3W at the GGA-PBE level of DFT.

Results
Fermi-level density of states: 0.78 states/eV per atom
Formation energy from the elements: 1.2315 eV per atom
Crystal system: cubic
Distance to the lowest polymorph of the same formula: 0 meV per atom

Lattice parameters (Å, degrees): 4.404 4.404 4.404 90.00 90.00 90.00
Space group Pm-3m (No. 221)
Symmetry-distinct sites (fractional):
Mn  0.000  0.000  0.000 x1
Mo  0.000  0.000  0.500 x3
W  0.500  0.500  0.500 x1

Entry 18:
Computed, not measured: an optimized crystal structure of MnMoW2 at the GGA-PBE level of DFT.

Results
Fermi-level density of states: 0.80 states/eV per atom
Formation energy from the elements: 0.0960 eV per atom
Crystal system: monoclinic
Distance to the lowest polymorph of the same formula: 39 meV per atom

Lattice parameters (Å, degrees): 2.698 4.382 5.176 90.00 99.29 90.00
Space group P2/m (No. 10)
Symmetry-distinct sites (fractional):
Mn  0.000  0.000  0.000 x1
Mo  0.500  0.000  0.500 x1
W  0.253  0.500  0.754 x2

Entry 19:
Computed, not measured: an optimized crystal structure of Mn2MoW at the GGA-PBE level of DFT.

Results
Fermi-level density of states: 0.94 states/eV per atom
Formation energy from the elements: 0.1301 eV per atom
Crystal system: monoclinic

Lattice parameters (Å, degrees): 2.661 4.117 5.168 90.00 101.25 90.00
Space group P2/m (No. 10)
Symmetry-distinct sites (fractional):
Mn  0.249  0.000  0.249 x2
Mo  0.000  0.500  0.500 x1
W  0.500  0.500  0.000 x1

Entry 20:
Computed, not measured: an optimized crystal structure of Mn3MoW at the GGA-PBE level of DFT.

Results
Fermi-level density of states: 1.60 states/eV per atom
Formation energy from the elements: 1.8406 eV per atom
Crystal system: cubic
Distance to the lowest polymorph of the same formula: 0 meV per atom

Lattice parameters (Å, degrees): 4.306 4.306 4.306 90.00 90.00 90.00
Space group Pm-3m (No. 221)
Symmetry-distinct sites (fractional):
Mn  0.000  0.000  0.500 x3
Mo  0.000  0.000  0.000 x1
W  0.500  0.500  0.500 x1